The following is a PBE-GGA calculation of a geometry-optimized PmCoP2 structure, from Alexandria.

Output
As for the density of states at the Fermi level: 0.203 states/eV/atom. The value obtained for the excess energy over the best structure of this formula in the dataset is 0.058 eV/atom. The raw total energy is -0.482 Ry/atom.

Geometry as POSCAR:
```
PmCoP2
1.0
1.8810 1.0860 5.3782
-1.8810 1.0860 5.3782
0.0000 -2.1720 5.3782
Pm Co P
1 1 2
Direct
0.0000 0.0000 0.0000
0.5000 0.5000 0.5000
0.2194 0.2194 0.2194
0.7806 0.7806 0.7806
```